KBeRh3: relaxed, PBE.

Formation energy from the elements, eV/atom: 0.490
Electronic total energy, eV per atom: -4.8854
Energy above the lowest structure with this stoichiometry, meV/atom: 0

Lattice parameters (Å, degrees): 4.352 4.352 4.352 90.00 90.00 90.00
Space group Pm-3m (No. 221)
Inequivalent atoms, fractional coordinates:
K 0.000 0.000 0.000 x1
Be 0.500 0.500 0.500 x1
Rh 0.000 0.500 0.500 x3

K2BeRh: relaxed, PBE.

Formation energy from the elements, eV/atom: 0.159
Electronic total energy, eV per atom: -3.1590

Lattice parameters (Å, degrees): 3.253 3.258 9.926 90.00 97.87 90.00
Space group Pm (No. 6)
Inequivalent atoms, fractional coordinates:
K 0.000 0.000 0.000 x1
K 0.272 0.500 0.571 x1
Be 0.182 0.000 0.293 x1
Rh 0.673 0.500 0.278 x1

KBeRh2: relaxed, PBE.

Formation energy from the elements, eV/atom: 0.537
Electronic total energy, eV per atom: -4.3441

Lattice parameters (Å, degrees): 2.8484 2.8484 28.4444 90.00 90.00 120.00
Space group R3m (No. 160, hexagonal axes)
Inequivalent atoms, fractional coordinates:
K 0.0000 0.0000 0.0000 x3
Be 0.0000 0.0000 0.7712 x3
Rh 0.0000 0.0000 0.2380 x3
Rh 0.0000 0.0000 0.4921 x3

K2BeRh: relaxed, PBE.

Formation energy from the elements, eV/atom: 0.912
Electronic total energy, eV per atom: -2.4059

Lattice parameters (Å, degrees): 3.575 4.438 5.361 90.00 90.00 90.00
Space group Pmmm (No. 47)
Inequivalent atoms, fractional coordinates:
K 0.000 0.000 0.000 x1
K 0.500 0.500 0.000 x1
Be 0.000 0.500 0.500 x1
Rh 0.500 0.000 0.500 x1

KBeRh2: relaxed, PBE.

Formation energy from the elements, eV/atom: 0.260
Electronic total energy, eV per atom: -4.6221

Lattice parameters (Å, degrees): 2.880 4.250 6.601 90.00 102.44 90.00
Space group Pm (No. 6)
Inequivalent atoms, fractional coordinates:
K 0.000 0.000 0.000 x1
Be 0.326 0.500 0.644 x1
Rh 0.257 0.000 0.505 x1
Rh 0.700 0.500 0.391 x1

KBeRh2: relaxed, PBE.

Formation energy from the elements, eV/atom: 0.920
Electronic total energy, eV per atom: -3.9615

Lattice parameters (Å, degrees): 4.013 4.013 4.050 90.00 90.00 90.00
Space group P4/mmm (No. 123)
Inequivalent atoms, fractional coordinates:
K 0.000 0.000 0.000 x1
Be 0.500 0.500 0.000 x1
Rh 0.000 0.500 0.500 x2

KBe3Rh: relaxed, PBE.

Formation energy from the elements, eV/atom: 2.551
Electronic total energy, eV per atom: -1.3744
Energy above the lowest structure with this stoichiometry, meV/atom: 2276

Lattice parameters (Å, degrees): 4.282 4.282 4.282 90.00 90.00 90.00
Space group Pm-3m (No. 221)
Inequivalent atoms, fractional coordinates:
K 0.000 0.000 0.000 x1
Be 0.000 0.000 0.500 x3
Rh 0.500 0.500 0.500 x1

KBeRh2: relaxed, PBE.

Formation energy from the elements, eV/atom: 0.255
Electronic total energy, eV per atom: -4.6265

Lattice parameters (Å, degrees): 6.805 2.938 7.389 90.00 98.24 90.00
Space group C2/m (No. 12)
Inequivalent atoms, fractional coordinates:
K 0.000 0.000 0.000 x2
Be 0.000 0.500 0.500 x2
Rh 0.214 0.000 0.643 x4

K2BeRh: relaxed, PBE.

Formation energy from the elements, eV/atom: 0.921
Electronic total energy, eV per atom: -2.3975

Lattice parameters (Å, degrees): 4.077 4.077 10.547 90.00 90.00 90.00
Space group I4/mmm (No. 139)
Inequivalent atoms, fractional coordinates:
K 0.000 0.500 0.250 x4
Be 0.000 0.000 0.000 x2
Rh 0.000 0.000 0.500 x2

KBeRh2: relaxed, PBE.

Formation energy from the elements, eV/atom: 0.218
Electronic total energy, eV per atom: -4.6637

Lattice parameters (Å, degrees): 3.004 4.686 8.826 90.00 90.00 90.00
Space group Cmmm (No. 65)
Inequivalent atoms, fractional coordinates:
K 0.000 0.000 0.000 x2
Be 0.000 0.000 0.500 x2
Rh 0.000 0.500 0.311 x4

KBeRh2: relaxed, PBE.

Formation energy from the elements, eV/atom: 0.230
Electronic total energy, eV per atom: -4.6517

Lattice parameters (Å, degrees): 9.659 2.849 6.068 90.00 104.60 90.00
Space group Cm (No. 8)
Inequivalent atoms, fractional coordinates:
K 0.000 0.000 0.000 x2
Be 0.300 0.500 0.384 x2
Rh 0.216 0.000 0.587 x2
Rh 0.483 0.000 0.497 x2

K2BeRh: relaxed, PBE.

Formation energy from the elements, eV/atom: 0.338
Electronic total energy, eV per atom: -2.9798

Lattice parameters (Å, degrees): 3.799 5.635 10.293 90.00 90.00 90.00
Space group Imm2 (No. 44)
Inequivalent atoms, fractional coordinates:
K 0.000 0.000 0.000 x2
K 0.000 0.500 0.193 x2
Be 0.000 0.000 0.393 x2
Rh 0.000 0.500 0.805 x2

K2BeRh: relaxed, PBE.

Formation energy from the elements, eV/atom: 0.207
Electronic total energy, eV per atom: -3.1113

Lattice parameters (Å, degrees): 6.694 3.861 9.558 90.00 101.27 90.00
Space group Cm (No. 8)
Inequivalent atoms, fractional coordinates:
K 0.000 0.000 0.000 x2
K 0.148 0.000 0.530 x2
Be 0.240 0.500 0.265 x2
Rh 0.407 0.000 0.265 x2

KBeRh2: relaxed, PBE.

Formation energy from the elements, eV/atom: 0.878
Electronic total energy, eV per atom: -4.0036

Lattice parameters (Å, degrees): 4.514 4.514 6.445 90.00 90.00 90.00
Space group I-4m2 (No. 119)
Inequivalent atoms, fractional coordinates:
K 0.000 0.000 0.000 x2
Be 0.000 0.500 0.250 x2
Rh 0.000 0.000 0.500 x2
Rh 0.000 0.500 0.750 x2

K3BeRh: relaxed, PBE.

Formation energy from the elements, eV/atom: 1.022
Electronic total energy, eV per atom: -1.8524
Energy above the lowest structure with this stoichiometry, meV/atom: 0

Lattice parameters (Å, degrees): 5.989 5.989 5.989 90.00 90.00 90.00
Space group Pm-3m (No. 221)
Inequivalent atoms, fractional coordinates:
K 0.000 0.000 0.500 x3
Be 0.500 0.500 0.500 x1
Rh 0.000 0.000 0.000 x1

KBe3Rh: relaxed, PBE.

Formation energy from the elements, eV/atom: 0.276
Electronic total energy, eV per atom: -3.6499
Energy above the lowest structure with this stoichiometry, meV/atom: 0

Lattice parameters (Å, degrees): 4.426 4.426 4.426 90.00 90.00 90.00
Space group Pm-3m (No. 221)
Inequivalent atoms, fractional coordinates:
K 0.000 0.000 0.000 x1
Be 0.000 0.500 0.500 x3
Rh 0.500 0.500 0.500 x1

KBeRh2: relaxed, PBE.

Formation energy from the elements, eV/atom: 0.199
Electronic total energy, eV per atom: -4.6831

Lattice parameters (Å, degrees): 2.8630 2.8630 26.4093 90.00 90.00 120.00
Space group R-3m (No. 166, hexagonal axes)
Inequivalent atoms, fractional coordinates:
K 0.0000 0.0000 0.0000 x3
Be 0.0000 0.0000 0.5000 x3
Rh 0.0000 0.0000 0.2284 x6

KBeRh2: relaxed, PBE.

Formation energy from the elements, eV/atom: 0.795
Electronic total energy, eV per atom: -4.0862

Lattice parameters (Å, degrees): 5.688 9.143 2.739 90.00 116.09 90.00
Space group C2/m (No. 12)
Inequivalent atoms, fractional coordinates:
K 0.000 0.000 0.000 x2
Be 0.000 0.500 0.000 x2
Rh 0.250 0.250 0.500 x4

K2BeRh: relaxed, PBE.

Formation energy from the elements, eV/atom: 0.463
Electronic total energy, eV per atom: -2.8556

Lattice parameters (Å, degrees): 12.221 12.221 4.164 90.00 90.00 90.00
Space group I-42d (No. 122)
Inequivalent atoms, fractional coordinates:
K 0.039 0.750 0.125 x8
Be 0.000 0.000 0.500 x4
Rh 0.000 0.000 0.000 x4

K2BeRh: relaxed, PBE.

Formation energy from the elements, eV/atom: 0.935
Electronic total energy, eV per atom: -2.3832

Lattice parameters (Å, degrees): 5.333 9.659 3.822 90.00 91.96 90.00
Space group C2/m (No. 12)
Inequivalent atoms, fractional coordinates:
K 0.250 0.250 0.000 x4
Be 0.000 0.000 0.500 x2
Rh 0.000 0.500 0.500 x2